GGA+U NpMnZnO6, relaxed; V = 12.0 Å³ per atom; raw total energy = -7.581 eV per atom
1.0
5.247 0.000 0.000
-2.624 4.544 0.000
0.000 0.000 9.081
Np Mn Zn O
2 2 2 12
Direct
0.333 0.667 0.250
0.667 0.333 0.750
0.000 0.000 0.000
0.000 0.000 0.500
0.333 0.667 0.750
0.667 0.333 0.250
0.013 0.339 0.128
0.013 0.675 0.372
0.325 0.339 0.372
0.325 0.987 0.128
0.339 0.013 0.628
0.339 0.325 0.872
0.661 0.675 0.128
0.661 0.987 0.372
0.675 0.013 0.872
0.675 0.661 0.628
0.987 0.325 0.628
0.987 0.661 0.872